DFT (GGA-PBE) results for crystalline Sr2SiOs at its relaxed geometry.

```
4
Lattice="9.853 -0.001 -0.001 9.228 3.456 -0.001 9.228 1.671 3.025" Properties=species:S:1:pos:R:3 pbc="T T T"
Os 7.077 1.281 0.756
Si 21.231 3.844 2.268
Sr 28.168 5.100 3.009
Sr 14.295 2.588 1.527
```

Computed properties:
- E_form (uncorrected) (eV/atom) = 0.79
- symmetry = R-3m (166)